! ScCoSe2 (GGA-PBE, optimized geometry); values from VASP
&SYSTEM
  ibrav = 0, nat = 4, ntyp = 3
/
ATOMIC_SPECIES
Sc 44.96 Sc.upf
Co 58.93 Co.upf
Se 78.96 Se.upf
CELL_PARAMETERS angstrom
2.052 0.000 7.766
-1.026 1.777 7.766
-1.026 -1.777 7.766
ATOMIC_POSITIONS crystal
Sc 0.000 0.000 0.000
Co 0.500 0.500 0.500
Se 0.886 0.886 0.886
Se 0.114 0.114 0.114
! - E_form (uncorrected) (eV per formula unit) = -1.3
! - energy above the lowest structure with this stoichiometry (meV per atom) = 525
! - V (Å³ per atom) = 21.240
! - E (eV per cell) = -21.74
! - SG = R-3m, No. 166
! - total moment (μB per formula unit) = 0.00